FeMo2Se | PBE | optimized geometry

a = 2.9303 Å, b = 2.9303 Å, c = 6.6717 Å
α = 90.00°, β = 90.00°, γ = 90.00°
With the nearest neighbours (Å) after each atom.
Fractional positions:
Se1 0.5000 0.5000 0.2500  8 Mo 2.68, 4 Se 2.93
Fe1 0.5000 0.5000 0.7500  8 Mo 2.64, 4 Fe 2.93
Mo1 0.0000 0.0000 0.9950  4 Fe 2.64, 4 Se 2.68, 4 Mo 2.93
Mo2 0.0000 0.0000 0.5050  4 Fe 2.64, 4 Se 2.68, 4 Mo 2.93

Properties
- ΔE_f (raw): 0.16 eV per atom

---

YBe2Se | PBE | optimized geometry

a = 5.4076 Å, b = 5.4076 Å, c = 5.4076 Å
α = 138.09°, β = 139.31°, γ = 59.84°
With the nearest neighbours (Å) after each atom.
Fractional positions:
Y1 0.2812 0.7812 0.5000  8 Be 2.92-3.03, 4 Se 2.99-3.05
Se1 0.5249 0.5249 0.0000  2 Be 2.32
Be1 0.0318 0.0318 0.0000  2 Be 2.24
Be2 0.6621 0.1621 0.5000  2 Be 2.24, 2 Se 2.32

Properties
- ΔE_f (raw): -0.15 eV per atom

---

CsBeAl3 | PBE | optimized geometry

a = 4.9666 Å, b = 4.9666 Å, c = 4.9666 Å
α = 90.00°, β = 90.00°, γ = 90.00°
With the nearest neighbours (Å) after each atom.
Fractional positions:
Be1 0.0000 0.0000 0.0000  6 Al 2.48
Al1 0.0000 0.5000 0.0000  2 Be 2.48
Al2 0.0000 0.0000 0.5000  2 Be 2.48
Al3 0.5000 0.0000 0.0000  2 Be 2.48
Cs1 0.5000 0.5000 0.5000  12 Al 3.51

Properties
- Energy of formation from the pure elements: 0.648 eV/atom
- Distance to the lowest polymorph of the same formula: 0.00 eV per formula unit

---

VPd3 | PBE | optimized geometry

a = 3.9014 Å, b = 3.9021 Å, c = 3.9026 Å
α = 90.00°, β = 90.00°, γ = 90.00°
With the nearest neighbours (Å) after each atom.
Fractional positions:
V1 0.5000 0.0000 0.5834  12 Pd 2.76
Pd1 0.0000 0.0000 0.0833  4 V 2.76, 8 Pd 2.76
Pd2 0.0000 0.5000 0.5833  4 V 2.76, 8 Pd 2.76
Pd3 0.5000 0.5000 0.0833  8 Pd 2.76, 4 V 2.76

Properties
- Energy of formation from the pure elements: -0.228 eV/atom

---

NaH4O2 | PBE | optimized geometry

a = 5.3450 Å, b = 6.1739 Å, c = 6.1739 Å
α = 90.00°, β = 90.00°, γ = 90.00°
With the nearest neighbours (Å) after each atom.
Fractional positions:
O1 0.0000 0.7634 0.2366  2 H 0.99
O2 0.5000 0.7366 0.7366  2 H 0.99
O3 0.0000 0.2366 0.7634  2 H 0.99
O4 0.5000 0.2634 0.2634  2 H 0.99
H1 0.5000 0.7585 0.5778  1 O 0.99
H2 0.0000 0.9222 0.2585  1 O 0.99
H3 0.5000 0.2415 0.4222  1 O 0.99
H4 0.0000 0.2585 0.9222  1 O 0.99
H5 0.0000 0.7415 0.0778  1 O 0.99
H6 0.5000 0.4222 0.2415  1 O 0.99
H7 0.5000 0.5778 0.7585  1 O 0.99
H8 0.0000 0.0778 0.7415  1 O 0.99
Na1 0.5000 0.0000 0.0000  2 O 2.30
Na2 0.0000 0.5000 0.5000  2 O 2.30

Properties
- E_tot: -60.37 eV/cell

---

What did the fourth record say?
VPd3 | PBE | optimized geometry

a = 3.9014 Å, b = 3.9021 Å, c = 3.9026 Å
α = 90.00°, β = 90.00°, γ = 90.00°
With the nearest neighbours (Å) after each atom.
Fractional positions:
V1 0.5000 0.0000 0.5834  12 Pd 2.76
Pd1 0.0000 0.0000 0.0833  4 V 2.76, 8 Pd 2.76
Pd2 0.0000 0.5000 0.5833  4 V 2.76, 8 Pd 2.76
Pd3 0.5000 0.5000 0.0833  8 Pd 2.76, 4 V 2.76

Properties
- Energy of formation from the pure elements: -0.228 eV/atom

---

Number 4 is which compound? VPd3